1.
A plane-wave DFT calculation with PBE was carried out for a relaxed structure of Ag2SnHgBr6.

Summary:
Its calculated volume is 30.65 A^3/atom. As for the uncorrected formation energy: -0.46 eV per atom.

Cell lengths 7.2921, 7.3025, 7.8499 Å; angles 90.04, 117.56, 119.87 degrees
With the nearest neighbours (Å) after each atom.
Space group P1 (No. 1)
Unique sites:
Ag 0.0000 0.0000 0.0000 [1 per cell]  6 Br 2.84-3.01
Ag 0.0021 0.5025 0.5047 [1 per cell]  6 Br 2.83-3.02
Sn 0.3927 0.6968 0.0894 [1 per cell]  6 Br 2.94-3.06
Hg 0.3971 0.1991 0.5951 [1 per cell]  6 Br 2.81-2.97
Br 0.1924 0.4029 0.3031 [1 per cell]  2 Ag 2.83-3.01, 1 Sn 2.95, 1 Hg 2.96
Br 0.1937 0.2780 0.7922 [1 per cell]  1 Hg 2.81, 2 Ag 2.84-3.02, 1 Sn 3.06
Br 0.5118 0.1101 0.3028 [1 per cell]  2 Ag 2.84-3.00, 1 Hg 2.95, 1 Sn 2.95
Br 0.5145 0.9166 0.7915 [1 per cell]  1 Hg 2.81, 2 Ag 2.84-3.02, 1 Sn 3.06
Br 0.8754 0.5987 0.7906 [1 per cell]  1 Hg 2.82, 2 Ag 2.84-2.99, 1 Sn 3.06
Br 0.8998 0.7917 0.3023 [1 per cell]  2 Ag 2.83-3.00, 1 Sn 2.94, 1 Hg 2.97

***

2.
A plane-wave DFT calculation with PBE was carried out for a relaxed structure of PrHoCuPt.

Summary:
The energy relative to the lowest polymorph listed for this composition comes out at 0.051 eV/atom. Its calculated volume is 22.42 A^3/atom. The value obtained for the formation energy is -2.698 eV per formula unit.

Cell lengths 7.1054, 7.1054, 7.1054 Å; angles 90.00, 90.00, 90.00 degrees
With the nearest neighbours (Å) after each atom.
Space group F-43m (No. 216)
Unique sites:
Pr 0.0000 0.0000 0.0000 [4 per cell]  4 Pt 3.08, 4 Cu 3.08
Ho 0.0000 0.0000 0.5000 [4 per cell]  4 Cu 3.08, 4 Pt 3.08
Cu 0.2500 0.2500 0.2500 [4 per cell]  4 Pr 3.08, 4 Ho 3.08
Pt 0.2500 0.2500 0.7500 [4 per cell]  4 Pr 3.08, 4 Ho 3.08

***

3.
A plane-wave DFT calculation with PBE was carried out for a relaxed structure of KHg2P.

Summary:
Its calculated volume is 26.52 A^3/atom. The value obtained for the formation energy is 0.726 eV per formula unit.

Cell lengths 3.8980, 3.8980, 6.9825 Å; angles 90.00, 90.00, 90.00 degrees
With the nearest neighbours (Å) after each atom.
Space group P4/mmm (No. 123)
Unique sites:
K 0.0000 0.0000 0.0000 [1 per cell]  8 Hg 3.43, 2 P 3.49
Hg 0.5000 0.5000 0.2915 [2 per cell]  1 Hg 2.91, 4 P 3.12
P 0.0000 0.0000 0.5000 [1 per cell]  8 Hg 3.12, 2 K 3.49

***

4.
A plane-wave DFT calculation with PBE was carried out for a relaxed structure of Y3Pu3ScS8.

Summary:
Its calculated volume is 22.66 A^3/atom. As for the uncorrected formation energy: -1.92 eV per atom.

Cell lengths 13.5702, 7.8280, 7.8320 Å; angles 90.00, 125.21, 90.00 degrees
With the nearest neighbours (Å) after each atom.
Space group C2/m (No. 12)
Unique sites:
Y 0.0000 0.0000 0.0000 [2 per cell]  6 S 2.75-2.76
Y 0.2500 0.2500 0.5000 [4 per cell]  6 S 2.75-2.76
Pu 0.0000 0.5000 0.5000 [2 per cell]  6 S 2.78-2.79
Pu 0.2500 0.2500 0.0000 [4 per cell]  6 S 2.78-2.80
Sc 0.0000 0.5000 0.0000 [2 per cell]  6 S 2.66-2.67
S 0.0020 0.2579 0.2412 [8 per cell]  1 Sc 2.66, 2 Y 2.75, 2 Pu 2.79-2.80
S 0.2406 0.5000 0.2423 [4 per cell]  1 Sc 2.67, 2 Y 2.76, 2 Pu 2.78
S 0.2489 0.0000 0.2505 [4 per cell]  3 Y 2.76, 3 Pu 2.78

***

5.
A plane-wave DFT calculation with PBE was carried out for a relaxed structure of PmInRu.

Summary:
The energy relative to the lowest polymorph listed for this composition comes out at 0.156 eV/atom. Its calculated volume is 23.27 A^3/atom. The value obtained for the formation energy is -0.406 eV per formula unit.

Cell lengths 4.6605, 4.6605, 3.7120 Å; angles 90.00, 90.00, 120.00 degrees
With the nearest neighbours (Å) after each atom.
Space group P-6m2 (No. 187)
Unique sites:
Pm 0.0000 0.0000 0.0000 [1 per cell]  6 In 3.27, 6 Ru 3.27
In 0.3333 0.6667 0.5000 [1 per cell]  3 Ru 2.69
Ru 0.6667 0.3333 0.5000 [1 per cell]  3 In 2.69

***

6.
A plane-wave DFT calculation with PBE was carried out for a relaxed structure of MnNb2CrH.

Summary:
The energy relative to the lowest polymorph listed for this composition comes out at 0.000 eV/atom. Its calculated volume is 12.37 A^3/atom.

Cell lengths 4.3643, 4.3643, 3.2480 Å; angles 90.00, 90.00, 90.00 degrees
With the nearest neighbours (Å) after each atom.
Space group P4/mmm (No. 123)
Unique sites:
Mn 0.0000 0.0000 0.0000 [1 per cell]  2 H 1.62
Nb 0.0000 0.5000 0.5000 [2 per cell]  2 H 2.18
Cr 0.5000 0.5000 0.0000 [1 per cell]  8 Nb 2.72
H 0.0000 0.0000 0.5000 [1 per cell]  2 Mn 1.62

***

7.
A plane-wave DFT calculation with PBE was carried out for a relaxed structure of Mn3TlBi.

Summary:
The energy relative to the lowest polymorph listed for this composition comes out at 0.000 eV/atom. Its calculated volume is 27.57 A^3/atom. The value obtained for the formation energy is 5.277 eV per formula unit.

Cell lengths 5.1658, 5.1658, 5.1658 Å; angles 90.00, 90.00, 90.00 degrees
With the nearest neighbours (Å) after each atom.
Space group Pm-3m (No. 221)
Unique sites:
Mn 0.0000 0.0000 0.5000 [3 per cell]  2 Bi 2.58
Tl 0.5000 0.5000 0.5000 [1 per cell]  12 Mn 3.65
Bi 0.0000 0.0000 0.0000 [1 per cell]  6 Mn 2.58

***

8.
A plane-wave DFT calculation with PBE was carried out for a relaxed structure of Li3ZnSb.

Summary:
Its calculated volume is 29.06 A^3/atom. As for the uncorrected formation energy: -0.16 eV per atom.

Cell lengths 5.2573, 5.2573, 5.2573 Å; angles 90.00, 90.00, 90.00 degrees
With the nearest neighbours (Å) after each atom.
Space group Pm-3m (No. 221)
Unique sites:
Li 0.0000 0.0000 0.5000 [3 per cell]  2 Sb 2.63
Zn 0.5000 0.5000 0.5000 [1 per cell]  12 Li 3.72
Sb 0.0000 0.0000 0.0000 [1 per cell]  6 Li 2.63

***

9.
A plane-wave DFT calculation with PBE was carried out for a relaxed structure of Ca2MgGa2.

Summary:
Its calculated volume is 27.81 A^3/atom. The value obtained for the formation energy is -0.300 eV per formula unit.

Cell lengths 4.6817, 4.6817, 12.6888 Å; angles 90.00, 90.00, 90.00 degrees
With the nearest neighbours (Å) after each atom.
Space group I4/mmm (No. 139)
Unique sites:
Ca 0.0000 0.5000 0.2500 [4 per cell]  4 Ga 3.07, 4 Ca 3.31
Mg 0.0000 0.0000 0.0000 [2 per cell]  8 Ga 3.52
Ga 0.0000 0.0000 0.4064 [4 per cell]  1 Ga 2.38

***

10.
A plane-wave DFT calculation with PBE was carried out for a relaxed structure of CsTc2Ru2.

Summary:
The energy relative to the lowest polymorph listed for this composition comes out at 0.000 eV/atom. Its calculated volume is 18.79 A^3/atom. The value obtained for the formation energy is 4.671 eV per formula unit.

Cell lengths 8.1175, 8.1175, 2.8519 Å; angles 90.00, 90.00, 90.00 degrees
With the nearest neighbours (Å) after each atom.
Space group P4/mbm (No. 127)
Unique sites:
Cs 0.0000 0.0000 0.0000 [2 per cell]  2 Cs 2.85
Tc 0.1122 0.3878 0.0000 [4 per cell]  3 Tc 2.57-2.85, 4 Ru 2.64
Ru 0.1572 0.6572 0.5000 [4 per cell]  4 Tc 2.64, 2 Ru 2.85

***

11.
A plane-wave DFT calculation with PBE was carried out for a relaxed structure of PmGaCoN.

Summary:
Its calculated volume is 15.60 A^3/atom. As for the uncorrected formation energy: -0.76 eV per atom.

Cell lengths 3.8103, 3.8103, 8.5961 Å; angles 90.00, 90.00, 90.00 degrees
With the nearest neighbours (Å) after each atom.
Space group P4/nmm (No. 129, origin choice 2)
Unique sites:
Pm 0.2500 0.2500 0.1497 [2 per cell]  1 N 2.33
Ga 0.2500 0.7500 0.5000 [2 per cell]  4 Co 2.41, 4 Ga 2.69
Co 0.2500 0.2500 0.6721 [2 per cell]  1 N 1.77
N 0.2500 0.2500 0.8782 [2 per cell]  1 Co 1.77

***

12.
A plane-wave DFT calculation with PBE was carried out for a relaxed structure of NaAcAlIn.

Summary:
Its calculated volume is 29.49 A^3/atom. The value obtained for the formation energy is -0.529 eV per formula unit.

Cell lengths 7.7854, 7.7854, 7.7854 Å; angles 90.00, 90.00, 90.00 degrees
With the nearest neighbours (Å) after each atom.
Space group F-43m (No. 216)
Unique sites:
Na 0.0000 0.0000 0.0000 [4 per cell]  4 Al 3.37, 4 In 3.37
Ac 0.0000 0.0000 0.5000 [4 per cell]  4 In 3.37, 4 Al 3.37
Al 0.2500 0.2500 0.7500 [4 per cell]  4 Ac 3.37, 4 Na 3.37
In 0.2500 0.2500 0.2500 [4 per cell]  4 Na 3.37, 4 Ac 3.37